1.
A geometry-optimized BaLiAl2H8 structure. Source: the Alexandria database, functional PBE-GGA.

Lattice parameters (Å, degrees): 5.033 5.033 7.619 90.00 90.00 120.00
Fractional positions:
Ba  0.000  0.000  0.000
Li  0.000  0.000  0.500
Al  0.333  0.667  0.276
Al  0.667  0.333  0.724
H  0.155  0.309  0.331
H  0.155  0.845  0.331
H  0.309  0.155  0.669
H  0.333  0.667  0.055
H  0.667  0.333  0.945
H  0.691  0.845  0.331
H  0.845  0.155  0.669
H  0.845  0.691  0.669

Output
The value obtained for the theoretical density is 2050 kg/m3. Its crystal system is trigonal. For the density of states at the Fermi level, the calculation gives 0.274 states/eV/atom. Its space group is No. 164. As for the calculated total energy: -3.344 eV/atom.

2.
A geometry-optimized BaLiAlH6 structure. Source: the Alexandria database, functional PBE-GGA.

Lattice parameters (Å, degrees): 4.950 4.950 5.304 90.00 90.00 120.00
Fractional positions:
Ba  0.000  0.000  0.000
Li  0.333  0.667  0.500
Al  0.667  0.333  0.500
H  0.407  0.026  0.694
H  0.407  0.382  0.306
H  0.618  0.026  0.306
H  0.618  0.593  0.694
H  0.974  0.382  0.694
H  0.974  0.593  0.306

Output
The value obtained for the theoretical density is 2616 kg/m3. Its crystal system is trigonal. For the density of states at the Fermi level, the calculation gives 0.000 states/eV/atom. Its space group is No. 149. As for the calculated total energy: -3.400 eV/atom.

3.
A geometry-optimized BaLi2AlH structure. Source: the Alexandria database, functional PBE-GGA.

Lattice parameters (Å, degrees): 5.135 5.135 4.211 90.00 90.00 90.00
Fractional positions:
Ba  0.000  0.000  0.000
Li  0.000  0.500  0.500
Li  0.500  0.000  0.500
Al  0.500  0.500  0.000
H  0.500  0.500  0.500

Output
The value obtained for the theoretical density is 2680 kg/m3. Its crystal system is tetragonal. For the density of states at the Fermi level, the calculation gives 0.623 states/eV/atom. Its space group is No. 123. As for the calculated total energy: -2.311 eV/atom.

4.
A geometry-optimized BaMg2AlH structure. Source: the Alexandria database, functional PBE-GGA.

Lattice parameters (Å, degrees): 6.694 6.694 7.957 90.00 90.00 138.66
Fractional positions:
Ba  0.059  0.941  0.750
Ba  0.941  0.059  0.250
Mg  0.334  0.666  0.560
Mg  0.334  0.666  0.940
Mg  0.666  0.334  0.060
Mg  0.666  0.334  0.440
Al  0.218  0.782  0.250
Al  0.782  0.218  0.750
H  0.500  0.500  0.000
H  0.500  0.500  0.500

Output
The value obtained for the theoretical density is 3017 kg/m3. Its crystal system is orthorhombic. For the density of states at the Fermi level, the calculation gives 0.172 states/eV/atom. Its space group is No. 63. As for the calculated total energy: -2.621 eV/atom.

5.
A geometry-optimized Ba2MgAlH structure. Source: the Alexandria database, functional PBE-GGA.

Lattice parameters (Å, degrees): 5.807 5.807 4.360 90.00 90.00 90.00
Fractional positions:
Ba  0.000  0.500  0.000
Ba  0.500  0.000  0.000
Mg  0.000  0.000  0.500
Al  0.500  0.500  0.500
H  0.500  0.500  0.000

Output
The value obtained for the theoretical density is 3693 kg/m3. Its crystal system is tetragonal. For the density of states at the Fermi level, the calculation gives 0.341 states/eV/atom. Its space group is No. 123. As for the calculated total energy: -2.610 eV/atom. The value obtained for the energy above the most stable polymorph in this dataset is 24 meV/atom.

6.
A geometry-optimized Ba2MgAlH structure. Source: the Alexandria database, functional PBE-GGA.

Lattice parameters (Å, degrees): 5.629 5.629 4.576 90.00 90.00 90.00
Fractional positions:
Ba  0.000  0.500  0.000
Ba  0.500  0.000  0.000
Mg  0.000  0.000  0.500
Al  0.500  0.500  0.500
H  0.000  0.000  0.000

Output
The value obtained for the theoretical density is 3744 kg/m3. Its crystal system is tetragonal. For the density of states at the Fermi level, the calculation gives 0.673 states/eV/atom. Its space group is No. 123. As for the calculated total energy: -2.634 eV/atom. The value obtained for the energy above the most stable polymorph in this dataset is 0 meV/atom.

7.
A geometry-optimized Ba2NaAlH structure. Source: the Alexandria database, functional PBE-GGA.

Lattice parameters (Å, degrees): 5.891 5.891 4.438 90.00 90.00 90.00
Fractional positions:
Ba  0.000  0.500  0.000
Ba  0.500  0.000  0.000
Na  0.000  0.000  0.500
Al  0.500  0.500  0.500
H  0.500  0.500  0.000

Output
The value obtained for the theoretical density is 3511 kg/m3. Its crystal system is tetragonal. For the density of states at the Fermi level, the calculation gives 0.779 states/eV/atom. Its space group is No. 123. As for the calculated total energy: -2.514 eV/atom. The value obtained for the energy above the most stable polymorph in this dataset is 96 meV/atom.

8.
A geometry-optimized Ba2NaAlH structure. Source: the Alexandria database, functional PBE-GGA.

Lattice parameters (Å, degrees): 5.747 5.747 4.622 90.00 90.00 90.00
Fractional positions:
Ba  0.000  0.500  0.000
Ba  0.500  0.000  0.000
Na  0.000  0.000  0.500
Al  0.500  0.500  0.500
H  0.000  0.000  0.000

Output
The value obtained for the theoretical density is 3542 kg/m3. Its crystal system is tetragonal. For the density of states at the Fermi level, the calculation gives 0.421 states/eV/atom. Its space group is No. 123. As for the calculated total energy: -2.610 eV/atom. The value obtained for the energy above the most stable polymorph in this dataset is 0 meV/atom.

9.
A geometry-optimized BaNaAlH2 structure. Source: the Alexandria database, functional PBE-GGA.

Lattice parameters (Å, degrees): 4.505 4.505 5.412 90.00 90.00 90.00
Fractional positions:
Ba  0.000  0.000  0.000
Na  0.500  0.500  0.000
Al  0.500  0.500  0.500
H  0.000  0.500  0.500
H  0.500  0.000  0.500

Output
The value obtained for the theoretical density is 2862 kg/m3. Its crystal system is tetragonal. For the density of states at the Fermi level, the calculation gives 0.327 states/eV/atom. Its space group is No. 123. As for the calculated total energy: -2.294 eV/atom. The value obtained for the energy above the most stable polymorph in this dataset is 6 meV/atom.

10.
A geometry-optimized BaNaAl2H8 structure. Source: the Alexandria database, functional PBE-GGA.

Lattice parameters (Å, degrees): 5.107 5.107 8.336 90.00 90.00 120.00
Fractional positions:
Ba  0.000  0.000  0.000
Na  0.000  0.000  0.500
Al  0.333  0.667  0.243
Al  0.667  0.333  0.757
H  0.158  0.315  0.297
H  0.158  0.842  0.297
H  0.315  0.158  0.703
H  0.333  0.667  0.041
H  0.667  0.333  0.959
H  0.685  0.842  0.297
H  0.842  0.158  0.703
H  0.842  0.685  0.703

Output
The value obtained for the theoretical density is 1961 kg/m3. Its crystal system is trigonal. For the density of states at the Fermi level, the calculation gives 0.311 states/eV/atom. Its space group is No. 164. As for the calculated total energy: -3.275 eV/atom.

11.
A geometry-optimized BaNaAlH2 structure. Source: the Alexandria database, functional PBE-GGA.

Lattice parameters (Å, degrees): 4.827 4.827 7.614 90.00 90.00 90.00
Fractional positions:
Ba  0.000  0.000  0.000
Na  0.000  0.000  0.500
Al  0.500  0.500  0.500
H  0.000  0.500  0.000
H  0.500  0.000  0.000

Output
The value obtained for the theoretical density is 1772 kg/m3. Its crystal system is tetragonal. For the density of states at the Fermi level, the calculation gives 0.572 states/eV/atom. Its space group is No. 123. As for the calculated total energy: -2.299 eV/atom. The value obtained for the energy above the most stable polymorph in this dataset is 0 meV/atom.

12.
A geometry-optimized BaAlNi2H8 structure. Source: the Alexandria database, functional PBE-GGA.

Lattice parameters (Å, degrees): 6.797 6.797 6.797 40.05 40.05 40.05
Fractional positions:
Ba  0.000  0.000  0.000
Al  0.500  0.500  0.500
Ni  0.214  0.214  0.214
Ni  0.786  0.786  0.786
H  0.129  0.455  0.749
H  0.251  0.871  0.545
H  0.295  0.295  0.295
H  0.455  0.749  0.129
H  0.545  0.251  0.871
H  0.705  0.705  0.705
H  0.749  0.129  0.455
H  0.871  0.545  0.251

Output
The value obtained for the theoretical density is 4106 kg/m3. Its crystal system is trigonal. For the density of states at the Fermi level, the calculation gives 0.268 states/eV/atom. Its space group is No. 148. As for the calculated total energy: -3.761 eV/atom.

13.
A geometry-optimized Ba3AlHO4 structure. Source: the Alexandria database, functional PBE-GGA.

Lattice parameters (Å, degrees): 10.622 8.239 7.353 90.00 90.00 90.00
Fractional positions:
Ba  0.036  0.250  0.096
Ba  0.166  0.026  0.601
Ba  0.166  0.474  0.601
Ba  0.334  0.526  0.101
Ba  0.334  0.974  0.101
Ba  0.464  0.750  0.596
Ba  0.536  0.250  0.404
Ba  0.666  0.026  0.899
Ba  0.666  0.474  0.899
Ba  0.834  0.526  0.399
Ba  0.834  0.974  0.399
Ba  0.964  0.750  0.904
Al  0.104  0.750  0.311
Al  0.396  0.250  0.811
Al  0.604  0.750  0.189
Al  0.896  0.250  0.689
H  0.230  0.750  0.839
H  0.270  0.250  0.339
H  0.730  0.750  0.661
H  0.770  0.250  0.161
O  0.012  0.750  0.516
O  0.072  0.566  0.194
O  0.072  0.934  0.194
O  0.232  0.250  0.872
O  0.268  0.750  0.372
O  0.428  0.066  0.694
O  0.428  0.434  0.694
O  0.488  0.250  0.016
O  0.512  0.750  0.984
O  0.572  0.566  0.306
O  0.572  0.934  0.306
O  0.732  0.250  0.628
O  0.768  0.750  0.128
O  0.928  0.066  0.806
O  0.928  0.434  0.806
O  0.988  0.250  0.484

Output
The value obtained for the theoretical density is 5202 kg/m3. Its crystal system is orthorhombic. For the density of states at the Fermi level, the calculation gives 0.000 states/eV/atom. Its space group is No. 62. As for the calculated total energy: -6.067 eV/atom.

14.
A geometry-optimized Ba2AlHO3 structure. Source: the Alexandria database, functional PBE-GGA.

Lattice parameters (Å, degrees): 3.975 4.000 13.163 90.00 90.00 90.00
Fractional positions:
Ba  0.000  0.000  0.145
Ba  0.000  0.000  0.855
Ba  0.500  0.500  0.355
Ba  0.500  0.500  0.645
Al  0.000  0.000  0.500
Al  0.500  0.500  0.000
H  0.000  0.500  0.500
H  0.500  0.000  0.000
O  0.000  0.000  0.356
O  0.000  0.000  0.644
O  0.000  0.500  0.000
O  0.500  0.000  0.500
O  0.500  0.500  0.144
O  0.500  0.500  0.856

Output
The value obtained for the theoretical density is 5564 kg/m3. Its crystal system is orthorhombic. For the density of states at the Fermi level, the calculation gives 0.000 states/eV/atom. Its space group is No. 71. As for the calculated total energy: -5.938 eV/atom.

15.
A geometry-optimized BaAlPH2 structure. Source: the Alexandria database, functional PBE-GGA.

Lattice parameters (Å, degrees): 4.375 4.375 4.689 90.00 90.00 90.00
Fractional positions:
Ba  0.000  0.000  0.000
Al  0.500  0.500  0.391
P  0.500  0.500  0.884
H  0.000  0.500  0.376
H  0.500  0.000  0.376

Output
The value obtained for the theoretical density is 3651 kg/m3. Its crystal system is tetragonal. For the density of states at the Fermi level, the calculation gives 0.132 states/eV/atom. Its space group is No. 99. As for the calculated total energy: -3.873 eV/atom.

16.
A geometry-optimized BaAlH8Pd2 structure. Source: the Alexandria database, functional PBE-GGA.

Lattice parameters (Å, degrees): 6.784 6.784 6.784 42.72 42.72 42.72
Fractional positions:
Ba  0.000  0.000  0.000
Al  0.500  0.500  0.500
H  0.146  0.714  0.457
H  0.286  0.543  0.854
H  0.307  0.307  0.307
H  0.457  0.146  0.714
H  0.543  0.854  0.286
H  0.693  0.693  0.693
H  0.714  0.457  0.146
H  0.854  0.286  0.543
Pd  0.219  0.219  0.219
Pd  0.781  0.781  0.781

Output
The value obtained for the theoretical density is 4914 kg/m3. Its crystal system is trigonal. For the density of states at the Fermi level, the calculation gives 0.104 states/eV/atom. Its space group is No. 148. As for the calculated total energy: -3.662 eV/atom.

17.
A geometry-optimized Rb2BaAlH6 structure. Source: the Alexandria database, functional PBE-GGA.

Lattice parameters (Å, degrees): 6.216 6.216 6.216 120.11 119.88 90.01
Fractional positions:
Rb  0.249  0.249  0.000
Rb  0.751  0.751  0.000
Ba  0.500  0.000  0.500
Al  0.000  0.500  0.500
H  0.203  0.296  0.499
H  0.203  0.703  0.500
H  0.203  0.704  0.907
H  0.797  0.296  0.093
H  0.797  0.297  0.500
H  0.797  0.704  0.501

Output
The value obtained for the theoretical density is 3337 kg/m3. Its crystal system is orthorhombic. For the density of states at the Fermi level, the calculation gives 0.237 states/eV/atom. Its space group is No. 71. As for the calculated total energy: -2.931 eV/atom.

18.
A geometry-optimized BaAlHRh2 structure. Source: the Alexandria database, functional PBE-GGA.

Lattice parameters (Å, degrees): 4.552 4.552 3.963 90.00 90.00 90.00
Fractional positions:
Ba  0.000  0.000  0.000
Al  0.500  0.500  0.000
H  0.500  0.500  0.500
Rh  0.000  0.500  0.500
Rh  0.500  0.000  0.500

Output
The value obtained for the theoretical density is 7505 kg/m3. Its crystal system is tetragonal. For the density of states at the Fermi level, the calculation gives 0.249 states/eV/atom. Its space group is No. 123. As for the calculated total energy: -4.574 eV/atom.

19.
A geometry-optimized Ba2AlSb2H4 structure. Source: the Alexandria database, functional PBE-GGA.

Lattice parameters (Å, degrees): 6.455 6.455 6.455 116.32 116.32 96.50
Fractional positions:
Ba  0.250  0.750  0.500
Ba  0.750  0.250  0.500
Al  0.000  0.000  0.000
Sb  0.342  0.342  0.000
Sb  0.658  0.658  0.000
H  0.179  0.179  0.358
H  0.179  0.821  0.000
H  0.821  0.179  0.000
H  0.821  0.821  0.642

Output
The value obtained for the theoretical density is 4574 kg/m3. Its crystal system is tetragonal. For the density of states at the Fermi level, the calculation gives 0.532 states/eV/atom. Its space group is No. 139. As for the calculated total energy: -3.451 eV/atom.

20.
A geometry-optimized Ba2AlSb2H2 structure. Source: the Alexandria database, functional PBE-GGA.

Lattice parameters (Å, degrees): 4.748 4.748 16.190 90.00 90.00 90.00
Fractional positions:
Ba  0.000  0.000  0.122
Ba  0.000  0.000  0.878
Ba  0.500  0.500  0.378
Ba  0.500  0.500  0.622
Al  0.000  0.000  0.500
Al  0.500  0.500  0.000
Sb  0.000  0.000  0.334
Sb  0.000  0.000  0.666
Sb  0.500  0.500  0.166
Sb  0.500  0.500  0.834
H  0.000  0.500  0.000
H  0.000  0.500  0.500
H  0.500  0.000  0.000
H  0.500  0.000  0.500

Output
The value obtained for the theoretical density is 4979 kg/m3. Its crystal system is tetragonal. For the density of states at the Fermi level, the calculation gives 0.545 states/eV/atom. Its space group is No. 139. As for the calculated total energy: -3.578 eV/atom.